Material: RbCrRuO6
Method: DFT, GGA+U
State: optimized geometry

a b c (Å): 5.217 5.217 6.068
angles (deg): 90.00 90.00 120.00
Element x y z (fractional)
Rb 0.000 0.000 0.000
Cr 0.333 0.667 0.500
Ru 0.667 0.333 0.500
O 0.002 0.501 0.308
O 0.002 0.501 0.692
O 0.499 0.501 0.308
O 0.499 0.501 0.692
O 0.499 0.998 0.308
O 0.499 0.998 0.692

Summary:
Volume: 15.89 A^3/atom
VASP energy: -6.4369 eV per atom
Spin magnetization: 0.97 μB/f.u.
Space-group type: No. 187